Record 1
The following is a PBE with a Hubbard U calculation of a relaxed structure of CoTePtO, from the Open Quantum Materials Database.

Energy relative to the lowest polymorph listed for this composition ... 449 meV/atom
Uncorrected energy ... -4.757 eV per atom
Crystal system ... tetragonal

Lattice parameters (Å, degrees): 5.0633 5.0633 6.1886 90.00 90.00 90.00
Space group P4/nmm (No. 129, origin choice 2)
One atom of each set of equivalent atoms:
1 Co 0.2500 0.2500 0.2168 (multiplicity 2)
2 Te 0.2500 0.7500 0.0000 (multiplicity 2)
3 Pt 0.2500 0.2500 0.8124 (multiplicity 2)
4 O 0.2500 0.2500 0.4909 (multiplicity 2)


Record 2
The following is a PBE with a Hubbard U calculation of a relaxed structure of CoTePtO, from the Open Quantum Materials Database.

Energy relative to the lowest polymorph listed for this composition ... 448 meV/atom
Uncorrected energy ... -4.758 eV per atom
Crystal system ... tetragonal

Lattice parameters (Å, degrees): 4.0066 4.0066 8.0676 90.00 90.00 90.00
Space group P4/nmm (No. 129, origin choice 2)
One atom of each set of equivalent atoms:
1 Co 0.2500 0.7500 0.0000 (multiplicity 2)
2 Te 0.2500 0.2500 0.2830 (multiplicity 2)
3 Pt 0.2500 0.2500 0.7822 (multiplicity 2)
4 O 0.2500 0.2500 0.5169 (multiplicity 2)